(1)
Entry from Alexandria: a geometry-optimized Tl5Tc3 structure (PBE).

Computed properties:
crystal system = triclinic
offset from the most stable computed form = 0.00 eV/f.u.
energy of formation from the pure elements = 0.565 eV per atom
DOS at the Fermi energy = 10.87 states/eV/cell
total magnetization = 0.00 μB per formula unit
space-group type = P-1 (2)

abc: 6.2367 8.3638 8.9672
angles: 101.54 96.07 116.36
Last column: nearest neighbours and their distance in Å.
Element x y z (fractional)
Tc 0.1479 0.6264 0.9627  2 Tc 2.39-2.49
Tc 0.3040 0.4152 0.0264  2 Tc 2.37-2.49
Tc 0.1737 0.1100 0.4870  1 Tc 2.21
Tc 0.8513 0.3736 0.0373  2 Tc 2.39-2.49
Tc 0.6952 0.5848 0.9736  2 Tc 2.37-2.49
Tc 0.8254 0.8900 0.5130  1 Tc 2.21
Tl 0.5950 0.8319 0.1961  4 Tc 2.86-3.07
Tl 0.2905 0.4744 0.6935  4 Tc 2.91-3.12, 1 Tl 3.24
Tl 0.1506 0.9305 0.1716  3 Tc 2.83-3.03
Tl 0.2993 0.7965 0.5003  2 Tc 3.00-3.07, 2 Tl 3.21-3.26
Tl 0.7086 0.5256 0.3065  4 Tc 2.91-3.12, 1 Tl 3.24
Tl 0.4042 0.1681 0.8039  4 Tc 2.86-3.07
Tl 0.1019 0.3061 0.2824  3 Tc 2.82-2.85
Tl 0.8486 0.0695 0.8284  3 Tc 2.83-3.03
Tl 0.6998 0.2035 0.4997  2 Tc 3.00-3.07, 2 Tl 3.21-3.26
Tl 0.8972 0.6939 0.7176  3 Tc 2.82-2.85

(2)
Entry from Alexandria: a geometry-optimized TlTc structure (PBE).

Computed properties:
crystal system = trigonal
offset from the most stable computed form = 0.45 eV/f.u.
energy of formation from the pure elements = 0.535 eV per atom
DOS at the Fermi energy = 2.47 states/eV/cell
total magnetization = 0.00 μB per formula unit
space-group type = P-3m1 (164)

abc: 3.0041 3.0041 10.7633
angles: 90.00 90.00 120.00
Last column: nearest neighbours and their distance in Å.
Element x y z (fractional)
Tc 0.0000 0.0000 0.0374  3 Tc 2.56
Tc 0.6667 0.3333 0.2126  3 Tc 2.56
Tl 0.6667 0.3333 0.7933  6 Tl 3.00, 3 Tc 3.15
Tl 0.0000 0.0000 0.4567  6 Tl 3.00, 3 Tc 3.15